# GGA-PBE Tb3DyAu3, relaxed
# DOS(E_F): 4.7 states/eV/f.u.
# DFT formation energy: -0.651 eV per atom
data_Tb3DyAu3
_cell_length_a 10.445
_cell_length_b 9.991
_cell_length_c 7.107
_cell_angle_alpha 90.00
_cell_angle_beta 98.29
_cell_angle_gamma 90.00
_space_group_name_H-M_alt 'C 1 2/m 1'
_space_group_IT_number 12
loop_
_space_group_symop_operation_xyz
'x,y,z'
'-x,-y,-z'
'-x,y,-z'
'x,-y,z'
'x+1/2,y+1/2,z'
'-x+1/2,-y+1/2,-z'
'-x+1/2,y+1/2,-z'
'x+1/2,-y+1/2,z'
loop_
_atom_site_label
_atom_site_type_symbol
_atom_site_fract_x
_atom_site_fract_y
_atom_site_fract_z
_atom_site_occupancy
Tb1 Tb 0.000 0.195 0.000 1
Tb2 Tb 0.000 0.277 0.500 1
Tb3 Tb 0.190 0.500 0.991 1
Dy1 Dy 0.237 0.000 0.476 1
Au1 Au 0.044 0.000 0.712 1
Au2 Au 0.245 0.244 0.762 1